# PBE with a Hubbard U FeOsOF2, relaxed
data_FeOsOF2
_chemical_formula_sum 'Fe1 Os1 O1 F2'
_cell_length_a 4.002
_cell_length_b 4.002
_cell_length_c 4.022
_cell_angle_alpha 90.00
_cell_angle_beta 90.00
_cell_angle_gamma 90.00
_space_group_name_H-M_alt 'P 1'
_space_group_IT_number 1
loop_
_space_group_symop_operation_xyz
'x,y,z'
loop_
_atom_site_label
_atom_site_fract_x
_atom_site_fract_y
_atom_site_fract_z
_atom_site_occupancy
Os1 0.500 0.500 0.500 1
F1 0.000 0.500 0.000 1
O1 0.000 0.000 0.500 1
F2 0.500 0.000 0.000 1
Fe1 0.000 0.000 0.000 1
# Total DFT energy (no corrections) (eV per atom): -5.29
# ΔE to the lowest computed polymorph (meV per atom): 258